Sc4TaSi | PBE | optimized geometry

```
Sc4TaSi
1.0
0.000 3.953 3.953
3.953 0.000 3.953
3.953 3.953 0.000
Sc Ta Si
4 1 1
Direct
0.376 0.376 0.376
0.376 0.376 0.871
0.376 0.871 0.376
0.871 0.376 0.376
0.750 0.750 0.750
0.000 0.000 0.000
```

- ΔE_f (raw) (eV per atom) = 0.483
- M_tot (Bohr magnetons per cell) = 0.000
- space-group type = No. 216
- crystal system = cubic